(1)
Material: LiHoZn6Cu
Method: DFT, GGA-PBE
State: relaxed

POSCAR file:
```
LiHoZn6Cu
1.0
-3.412 4.351 5.390
3.412 -4.351 5.390
3.412 4.351 -5.390
Li Ho Zn Cu
2 2 12 2
Direct
0.500 0.000 0.000
0.500 0.500 0.500
0.050 0.300 0.750
0.950 0.700 0.250
0.113 0.315 0.179
0.113 0.934 0.798
0.258 0.008 0.250
0.326 0.576 0.750
0.363 0.066 0.679
0.363 0.685 0.298
0.637 0.315 0.702
0.637 0.934 0.321
0.674 0.424 0.250
0.742 0.992 0.750
0.887 0.066 0.202
0.887 0.685 0.821
0.000 0.500 0.500
0.500 0.500 0.000
```

Calculated values
Energy   -36.83 eV per cell
ΔH_f (0 K)   -0.021 eV/atom


(2)
Material: Ho2LuCu
Method: DFT, GGA-PBE
State: relaxed

POSCAR file:
```
Ho2LuCu
1.0
1.763 1.018 9.817
-1.763 1.018 9.817
0.000 -2.036 9.817
Ho Lu Cu
2 1 1
Direct
0.236 0.236 0.236
0.764 0.764 0.764
0.000 0.000 0.000
0.500 0.500 0.500
```

Calculated values
Energy   -17.63 eV per cell
ΔH_f (0 K)   0.036 eV/atom


(3)
Material: HoLuCu
Method: DFT, GGA-PBE
State: relaxed

POSCAR file:
```
HoLuCu
1.0
4.730 0.000 0.000
-2.365 4.097 0.000
0.000 0.000 3.730
Ho Lu Cu
1 1 1
Direct
0.000 0.000 0.000
0.667 0.333 0.485
0.333 0.667 0.713
```

Calculated values
Energy   -13.11 eV per cell
ΔH_f (0 K)   0.029 eV/atom


(4)
Material: HoLuCu2
Method: DFT, GGA-PBE
State: relaxed

POSCAR file:
```
HoLuCu2
1.0
3.419 0.000 0.000
0.000 3.419 0.000
0.000 0.000 6.842
Ho Lu Cu
1 1 2
Direct
0.000 0.000 0.000
0.000 0.000 0.500
0.500 0.500 0.260
0.500 0.500 0.740
```

Calculated values
Energy   -18.43 eV per cell
ΔH_f (0 K)   -0.284 eV/atom


(5)
Material: Ho2LuCu
Method: DFT, GGA-PBE
State: relaxed

POSCAR file:
```
Ho2LuCu
1.0
3.454 0.000 0.000
0.000 3.454 0.000
0.000 0.000 8.572
Ho Lu Cu
2 1 1
Direct
0.000 0.000 0.202
0.000 0.000 0.798
0.500 0.500 0.500
0.500 0.500 0.000
```

Calculated values
Energy   -18.15 eV per cell
ΔH_f (0 K)   -0.095 eV/atom


(6)
Material: HoLuCu
Method: DFT, GGA-PBE
State: relaxed

POSCAR file:
```
HoLuCu
1.0
0.000 3.378 3.378
3.378 0.000 3.378
3.378 3.378 0.000
Ho Lu Cu
1 1 1
Direct
0.000 0.000 0.000
0.500 0.500 0.500
0.750 0.750 0.750
```

Calculated values
Energy   -13.14 eV per cell
ΔH_f (0 K)   0.020 eV/atom


(7)
Material: HoLu2Cu
Method: DFT, GGA-PBE
State: relaxed

POSCAR file:
```
HoLu2Cu
1.0
3.412 0.000 0.000
0.000 3.412 0.000
0.000 0.000 8.581
Ho Lu Cu
1 2 1
Direct
0.000 0.000 0.000
0.500 0.500 0.303
0.500 0.500 0.697
0.000 0.000 0.500
```

Calculated values
Energy   -18.19 eV per cell
ΔH_f (0 K)   -0.118 eV/atom


(8)
Material: HoLuCu2
Method: DFT, GGA-PBE
State: relaxed

POSCAR file:
```
HoLuCu2
1.0
0.000 3.423 3.423
3.423 0.000 3.423
3.423 3.423 0.000
Ho Lu Cu
1 1 2
Direct
0.000 0.000 0.000
0.500 0.500 0.500
0.250 0.250 0.250
0.750 0.750 0.750
```

Calculated values
Energy   -18.42 eV per cell
ΔH_f (0 K)   -0.283 eV/atom


(9)
Material: HoLu2Cu
Method: DFT, GGA-PBE
State: relaxed

POSCAR file:
```
HoLu2Cu
1.0
1.769 1.021 9.657
-1.769 1.021 9.657
0.000 -2.042 9.657
Ho Lu Cu
1 2 1
Direct
0.000 0.000 0.000
0.234 0.234 0.234
0.766 0.766 0.766
0.500 0.500 0.500
```

Calculated values
Energy   -17.65 eV per cell
ΔH_f (0 K)   0.017 eV/atom


(10)
Material: HoLuCu
Method: DFT, GGA-PBE
State: relaxed

POSCAR file:
```
HoLuCu
1.0
-1.714 1.714 6.075
1.714 -1.714 6.075
1.714 1.714 -6.075
Ho Lu Cu
1 1 1
Direct
0.000 0.000 0.000
0.278 0.278 0.000
0.645 0.645 0.000
```

Calculated values
Energy   -13.64 eV per cell
ΔH_f (0 K)   -0.149 eV/atom


(11)
Material: HoLuCu4
Method: DFT, GGA-PBE
State: relaxed

POSCAR file:
```
HoLuCu4
1.0
0.000 3.687 3.687
3.687 0.000 3.687
3.687 3.687 0.000
Ho Lu Cu
1 1 4
Direct
0.000 0.000 0.000
0.250 0.250 0.250
0.126 0.625 0.625
0.625 0.126 0.625
0.625 0.625 0.126
0.625 0.625 0.625
```

Calculated values
Energy   -26.73 eV per cell
ΔH_f (0 K)   -0.207 eV/atom


(12)
Material: HoLuMgCu
Method: DFT, GGA-PBE
State: relaxed

POSCAR file:
```
HoLuMgCu
1.0
0.000 3.580 3.580
3.580 0.000 3.580
3.580 3.580 0.000
Ho Lu Mg Cu
1 1 1 1
Direct
0.000 0.000 0.000
0.500 0.500 0.500
0.250 0.250 0.250
0.750 0.750 0.750
```

Calculated values
Energy   -15.06 eV per cell
ΔH_f (0 K)   -0.067 eV/atom


(13)
Material: HoLuMnCu
Method: DFT, GGA-PBE
State: relaxed

POSCAR file:
```
HoLuMnCu
1.0
0.000 3.456 3.456
3.456 0.000 3.456
3.456 3.456 0.000
Ho Lu Mn Cu
1 1 1 1
Direct
0.000 0.000 0.000
0.500 0.500 0.500
0.250 0.250 0.250
0.750 0.750 0.750
```

Calculated values
Energy   -22.35 eV per cell
ΔH_f (0 K)   0.004 eV/atom


(14)
Material: HoLuCuPb
Method: DFT, GGA-PBE
State: relaxed

POSCAR file:
```
HoLuCuPb
1.0
0.000 3.634 3.634
3.634 0.000 3.634
3.634 3.634 0.000
Ho Lu Cu Pb
1 1 1 1
Direct
0.000 0.000 0.000
0.500 0.500 0.500
0.250 0.250 0.250
0.750 0.750 0.750
```

Calculated values
Energy   -17.96 eV per cell
ΔH_f (0 K)   -0.264 eV/atom


Number 1: M_tot 0.00 μB/atom. Number 2: M_tot 0.00 μB/atom. Number 3: M_tot 0.00 μB/atom. Number 4: M_tot 0.00 μB/atom. Number 5: M_tot 0.00 μB/atom. Number 6: M_tot 0.00 μB/atom. Number 7: M_tot 0.00 μB/atom. Number 8: M_tot 0.00 μB/atom. Number 9: M_tot 0.00 μB/atom. Number 10: M_tot 0.05 μB/atom. Number 11: M_tot 0.00 μB/atom. Number 12: M_tot 0.00 μB/atom. Number 13: M_tot 0.83 μB/atom. Number 14: M_tot 0.00 μB/atom.